Arrangement one

PmEr2 PBE-GGA optimized geometry; space group = No. 227; V = 720 Å³ per cell
1.0
-4.460 4.984 7.513
1.912 -2.529 9.546
5.391 6.155 5.851
Er Pm
4 2
direct
0.875 0.375 0.375 Er
0.375 0.375 0.875 Er
0.375 0.875 0.375 Er
0.375 0.375 0.375 Er
0.500 0.500 0.500 Pm
0.250 0.250 0.250 Pm


Arrangement two

PmEr2 PBE-GGA optimized geometry; space group = No. 227; V = 200 Å³ per cell
1.0
0.000 4.645 4.645
4.645 0.000 4.645
4.645 4.645 0.000
Er Pm
4 2
direct
0.625 0.625 0.625 Er
0.125 0.625 0.625 Er
0.625 0.625 0.125 Er
0.625 0.125 0.625 Er
0.000 0.000 0.000 Pm
0.250 0.250 0.250 Pm


The data favor arrangement two; the next most stable structure lies 2183 meV per atom above it.


Arrangement one

PrErPt2 PBE-GGA optimized geometry; space group = No. 26; V = 186 Å³ per cell
1.0
4.569 0.000 0.000
0.000 5.645 0.000
0.000 0.000 7.204
Er Pt Pr
2 4 2
direct
0.000 0.610 0.317 Er
0.000 0.390 0.817 Er
0.500 0.408 0.545 Pt
0.500 0.592 0.045 Pt
0.000 0.102 0.457 Pt
0.000 0.898 0.957 Pt
0.500 0.109 0.181 Pr
0.500 0.891 0.681 Pr


Arrangement two

PrErPt2 PBE-GGA optimized geometry; space group = No. 11; V = 186 Å³ per cell
1.0
5.657 0.000 0.000
0.000 4.570 0.000
-0.210 0.000 7.180
Pt Er Pr
4 2 2
direct
0.167 0.750 0.966 Pt
0.354 0.750 0.447 Pt
0.646 0.250 0.553 Pt
0.833 0.250 0.034 Pt
0.639 0.750 0.820 Er
0.361 0.250 0.180 Er
0.142 0.250 0.686 Pr
0.858 0.750 0.314 Pr


Arrangement three

PrErPt2 PBE-GGA optimized geometry; space group = No. 31; V = 185 Å³ per cell
1.0
-3.933 1.724 -1.537
1.577 -2.314 -6.630
-2.574 -4.896 1.096
Er Pt Pr
2 4 2
direct
0.000 0.067 0.358 Er
0.500 0.933 0.858 Er
0.500 0.814 0.345 Pt
0.500 0.273 0.155 Pt
0.000 0.727 0.655 Pt
0.000 0.186 0.845 Pt
0.000 0.570 0.141 Pr
0.500 0.430 0.641 Pr


The data favor arrangement three; the next most stable structure lies 14 meV per atom above it.


Arrangement one

Pr3Er3Te2Pt PBE-GGA optimized geometry; space group = No. 189; V = 255 Å³ per cell
1.0
8.492 0.000 0.000
-4.246 7.355 0.000
0.000 0.000 4.081
Pr Pt Er Te
3 1 3 2
direct
0.405 0.405 0.000 Pr
0.000 0.595 0.000 Pr
0.595 0.000 0.000 Pr
0.000 0.000 0.000 Pt
0.000 0.238 0.500 Er
0.762 0.762 0.500 Er
0.238 0.000 0.500 Er
0.667 0.333 0.500 Te
0.333 0.667 0.500 Te


Arrangement two

Pr3Er3Te2Pt PBE-GGA optimized geometry; space group = No. 189; V = 257 Å³ per cell
1.0
8.659 0.000 0.000
-4.330 7.499 0.000
0.000 0.000 3.951
Pr Er Te Pt
3 3 2 1
direct
0.748 0.748 0.500 Pr
0.252 0.000 0.500 Pr
0.000 0.252 0.500 Pr
0.000 0.596 0.000 Er
0.596 0.000 0.000 Er
0.404 0.404 0.000 Er
0.333 0.667 0.500 Te
0.667 0.333 0.500 Te
0.000 0.000 0.000 Pt


The data favor arrangement one; the next most stable structure lies 166 meV per atom above it.


Arrangement one

ErTaPt PBE-GGA optimized geometry; space group = No. 216; V = 68 Å³ per cell
1.0
0.000 3.246 3.246
3.246 0.000 3.246
3.246 3.246 0.000
Er Pt Ta
1 1 1
direct
0.000 0.000 0.000 Er
0.250 0.250 0.250 Pt
0.750 0.750 0.750 Ta


Arrangement two

ErTaPt PBE-GGA optimized geometry; space group = No. 216; V = 69 Å³ per cell
1.0
0.000 3.248 3.248
3.248 0.000 3.248
3.248 3.248 0.000
Er Pt Ta
1 1 1
direct
0.250 0.250 0.250 Er
0.000 0.000 0.000 Pt
0.750 0.750 0.750 Ta


The data favor arrangement two; the next most stable structure lies 993 meV per atom above it.


Arrangement one

Er3Te5Pt PBE-GGA optimized geometry; space group = No. 189; V = 242 Å³ per cell
1.0
-5.402 0.476 6.665
-2.929 -2.277 -7.750
0.679 -3.629 0.809
Pt Te Er
1 5 3
direct
0.000 0.000 0.000 Pt
0.667 0.333 0.500 Te
0.000 0.243 0.500 Te
0.757 0.757 0.500 Te
0.243 0.000 0.500 Te
0.333 0.667 0.500 Te
0.646 0.000 0.000 Er
0.354 0.354 0.000 Er
0.000 0.646 0.000 Er


Arrangement two

Er3Te5Pt PBE-GGA optimized geometry; space group = No. 189; V = 261 Å³ per cell
1.0
-7.298 4.396 1.712
3.984 -4.436 6.322
2.157 3.229 0.906
Te Er Pt
5 3 1
direct
0.696 0.000 0.000 Te
0.000 0.696 0.000 Te
0.304 0.304 0.000 Te
0.333 0.667 0.500 Te
0.667 0.333 0.500 Te
0.730 0.730 0.500 Er
0.270 0.000 0.500 Er
0.000 0.270 0.500 Er
0.000 0.000 0.000 Pt


The data favor arrangement two; the next most stable structure lies 129 meV per atom above it.


Arrangement one

ErPuSc PBE-GGA optimized geometry; space group = No. 216; V = 93 Å³ per cell
1.0
0.147 -4.919 1.288
-3.863 -3.070 -1.238
0.623 -3.551 -3.589
Sc Pu Er
1 1 1
direct
0.750 0.750 0.750 Sc
0.250 0.250 0.250 Pu
0.000 0.000 0.000 Er


Arrangement two

ErPuSc PBE-GGA optimized geometry; space group = No. 160; V = 97 Å³ per cell
1.0
2.576 1.488 4.223
-2.576 1.488 4.223
0.000 -2.975 4.223
Pu Er Sc
1 1 1
direct
0.000 0.000 0.000 Pu
0.250 0.250 0.250 Er
0.750 0.750 0.750 Sc


The data favor arrangement one; the next most stable structure lies 9 meV per atom above it.